# 1
UPd3 | PBE | relaxed

Results
Symmetry = I4/mmm
Fermi-level density of states = 7.22 states/eV/f.u.
Total energy = -7.1739 eV/atom
Formation energy = -0.46 eV/atom

The structure in POSCAR format:
```
UPd3
1.0
4.122 0.000 0.000
0.000 4.122 0.000
0.000 0.000 8.403
U Pd
2 6
Cartesian
0.000 0.000 0.000 U
2.061 2.061 4.202 U
0.000 0.000 4.202 Pd
0.000 2.061 2.101 Pd
0.000 2.061 6.302 Pd
2.061 0.000 2.101 Pd
2.061 0.000 6.302 Pd
2.061 2.061 0.000 Pd
```

# 2
Mn2NiS4 | PBE | relaxed

Results
Symmetry = I4/mmm
Fermi-level density of states = 5.97 states/eV/f.u.
Total energy = -5.7465 eV/atom

The structure in POSCAR format:
```
Mn2NiS4
1.0
4.631 0.000 0.000
0.000 4.631 0.000
0.000 0.000 11.641
Mn Ni S
4 2 8
Cartesian
0.000 0.000 1.386 Mn
0.000 0.000 10.254 Mn
2.316 2.316 4.434 Mn
2.316 2.316 7.207 Mn
0.000 0.000 5.820 Ni
2.316 2.316 0.000 Ni
0.000 0.000 3.553 S
0.000 0.000 8.088 S
0.000 2.316 0.000 S
0.000 2.316 5.820 S
2.316 0.000 0.000 S
2.316 0.000 5.820 S
2.316 2.316 2.267 S
2.316 2.316 9.374 S
```

# 3
Zr2AgN3 | PBE | relaxed

Results
Symmetry = R-3m
Fermi-level density of states = 0.00 states/eV/f.u.
Total energy = -8.5310 eV/atom

The structure in POSCAR format:
```
Zr2AgN3
1.0
1.671 0.965 8.902
-1.671 0.965 8.902
0.000 -1.930 8.902
Zr Ag N
2 1 3
Cartesian
0.000 0.000 5.896 Zr
0.000 0.000 20.809 Zr
0.000 0.000 0.000 Ag
0.000 0.000 2.107 N
0.000 0.000 13.353 N
0.000 0.000 24.598 N
```

Question: Look up the total energy of the third one.
Answer: -8.5310 eV/atom